1.
This record from Alexandria describes a relaxed Zr2Nb crystal. The functional is PBE.

Output
**Energy relative to the elements**: 0.0700 eV/atom
**Magnetization**: 0.00 μB/f.u.
**D(E_F)**: 4.9 states/eV/f.u.
**SG**: No. 69

Cell and atoms, written as POSCAR:
```
Zr2Nb
1.0
3.480 -0.009 -0.003
-0.009 3.480 -0.003
-1.738 -1.738 5.269
Nb Zr
1 2
Direct
0.500 0.500 0.000 Nb
0.156 0.156 0.311 Zr
0.844 0.844 0.689 Zr
```


2.
This record from Alexandria describes a relaxed LiVFe4 crystal. The functional is PBE.

Output
**Energy relative to the elements**: 0.0729 eV/atom
**Magnetization**: 5.21 μB/f.u.
**D(E_F)**: 4.2 states/eV/f.u.
**SG**: No. 216

Cell and atoms, written as POSCAR:
```
LiVFe4
1.0
4.687 0.000 0.000
2.343 4.059 0.000
2.343 1.353 3.827
Li Fe V
1 4 1
Direct
0.000 0.000 0.000 Li
0.625 0.625 0.124 Fe
0.625 0.124 0.625 Fe
0.625 0.625 0.625 Fe
0.124 0.625 0.625 Fe
0.250 0.250 0.250 V
```


3.
This record from Alexandria describes a relaxed KSbRhF2 crystal. The functional is PBE.

Output
**Formation energy (no corrections)**: -0.205 eV per atom
**Magnetization**: 2.89 μB/f.u.
**D(E_F)**: 5.9 states/eV/f.u.
**SG**: No. 123

Cell and atoms, written as POSCAR:
```
KSbRhF2
1.0
4.356 0.000 0.000
0.000 6.591 0.000
0.000 0.000 4.356
Sb K Rh F
1 1 1 2
Direct
0.500 0.500 0.500 Sb
0.000 0.500 0.000 K
0.000 0.000 0.000 Rh
0.000 0.000 0.500 F
0.500 0.000 0.000 F
```


4.
This record from Alexandria describes a relaxed TaRuRh2 crystal. The functional is PBE.

Output
**Energy relative to the elements**: 0.0022 eV/atom
**Relative energy among the computed polymorphs**: 475 meV/atom
**Magnetization**: 1.32 μB/f.u.
**D(E_F)**: 6.2 states/eV/f.u.
**SG**: No. 225

Cell and atoms, written as POSCAR:
```
TaRuRh2
1.0
0.000 3.133 3.133
3.133 0.000 3.133
3.133 3.133 0.000
Ru Rh Ta
1 2 1
Direct
0.000 0.000 0.000 Ru
0.250 0.250 0.250 Rh
0.750 0.750 0.750 Rh
0.500 0.500 0.500 Ta
```


5.
This record from Alexandria describes a relaxed TbCePa2Sb4 crystal. The functional is PBE.

Output
**Formation energy (no corrections)**: -0.757 eV per atom
**Magnetization**: 2.75 μB/f.u.
**D(E_F)**: 16.9 states/eV/f.u.
**SG**: No. 10

Cell and atoms, written as POSCAR:
```
TbCePa2Sb4
1.0
-4.116 -1.534 0.287
2.629 -7.143 -0.483
-0.274 2.114 7.365
Tb Ce Pa Sb
1 1 2 4
Direct
0.500 0.500 0.000 Tb
0.000 0.000 0.000 Ce
0.500 0.000 0.500 Pa
0.000 0.500 0.500 Pa
0.500 0.254 0.254 Sb
0.500 0.746 0.746 Sb
0.000 0.252 0.747 Sb
0.000 0.748 0.253 Sb
```